# Cs3K5Cd

Cs3K5Cd after structural relaxation (PBE, Alexandria via LeMat-Bulk).

a b c (Å): 5.859 11.732 11.732
angles (deg): 120.00 90.00 90.00
Positions (direct):
K (0.500, 0.776, 0.000)
K (0.500, 0.224, 0.224)
K (0.500, 0.333, 0.667)
K (0.500, 0.667, 0.333)
K (0.500, 0.000, 0.776)
Cs (0.000, 0.000, 0.373)
Cs (0.000, 0.373, 0.000)
Cs (0.000, 0.627, 0.627)
Cd (0.000, 0.000, 0.000)

SG   No. 189
Energy   -0.981 eV per atom
DFT formation energy   0.02 eV/atom


# Cs4K3Cd

Cs4K3Cd after structural relaxation (PBE, Alexandria via LeMat-Bulk).

a b c (Å): 8.562 13.273 13.273
angles (deg): 84.03 71.18 71.18
Positions (direct):
Cs (0.224, 0.684, 0.867)
Cs (0.276, 0.133, 0.316)
Cs (0.592, 0.684, 0.133)
Cs (0.908, 0.867, 0.316)
Cs (0.092, 0.133, 0.684)
Cs (0.408, 0.316, 0.867)
Cs (0.776, 0.316, 0.133)
Cs (0.724, 0.867, 0.684)
K (0.621, 0.258, 0.500)
K (0.379, 0.742, 0.500)
K (0.121, 0.500, 0.258)
K (0.250, 0.000, 0.000)
K (0.879, 0.500, 0.742)
K (0.750, 0.000, 0.000)
Cd (0.250, 0.500, 0.500)
Cd (0.750, 0.500, 0.500)

SG   No. 140
Energy   -0.901 eV per atom
DFT formation energy   0.05 eV/atom


# CsK3Cd

CsK3Cd after structural relaxation (PBE, Alexandria via LeMat-Bulk).

a b c (Å): 8.440 8.440 8.440
angles (deg): 90.00 90.00 90.00
Positions (direct):
Cd (0.500, 0.500, 0.500)
K (0.000, 0.500, 0.000)
K (0.000, 0.000, 0.500)
K (0.500, 0.000, 0.000)
Cs (0.000, 0.000, 0.000)

E above lowest polymorph   436 meV per atom
SG   No. 221
Energy   -0.576 eV per atom
DFT formation energy   0.44 eV/atom


# CsK4Cd2

CsK4Cd2 after structural relaxation (PBE, Alexandria via LeMat-Bulk).

a b c (Å): 5.965 5.973 11.700
angles (deg): 104.79 90.00 90.00
Positions (direct):
Cd (0.500, 0.565, 0.130)
Cd (0.500, 0.435, 0.870)
K (0.000, 0.332, 0.664)
K (0.500, 0.170, 0.339)
K (0.000, 0.668, 0.336)
K (0.500, 0.830, 0.661)
Cs (0.000, 0.000, 0.000)

SG   No. 65
Energy   -1.005 eV per atom
DFT formation energy   0.01 eV/atom


# Cs14KCd

Cs14KCd after structural relaxation (PBE, Alexandria via LeMat-Bulk).

a b c (Å): 10.698 10.698 15.278
angles (deg): 90.00 90.00 104.38
Positions (direct):
Cs (0.625, 0.953, 0.000)
Cs (0.598, 0.844, 0.500)
Cs (0.047, 0.375, 0.000)
Cs (0.156, 0.402, 0.500)
Cs (0.444, 0.178, 0.689)
Cs (0.571, 0.429, 0.000)
Cs (0.444, 0.178, 0.311)
Cs (0.332, 0.668, 0.768)
Cs (0.822, 0.556, 0.311)
Cs (0.910, 0.090, 0.717)
Cs (0.332, 0.668, 0.232)
Cs (0.822, 0.556, 0.689)
Cs (0.910, 0.090, 0.283)
Cs (0.102, 0.898, 0.000)
K (0.127, 0.873, 0.500)
Cd (0.755, 0.245, 0.500)

SG   No. 38
Energy   -0.861 eV per atom
DFT formation energy   0.01 eV/atom


# Cs23K6Cd

Cs23K6Cd after structural relaxation (PBE, Alexandria via LeMat-Bulk).

a b c (Å): 16.477 16.477 16.477
angles (deg): 60.00 60.00 60.00
Positions (direct):
K (0.761, 0.239, 0.761)
K (0.239, 0.761, 0.761)
K (0.761, 0.239, 0.239)
K (0.239, 0.761, 0.239)
K (0.761, 0.761, 0.239)
K (0.239, 0.239, 0.761)
Cs (0.394, 0.869, 0.869)
Cs (0.500, 0.500, 0.000)
Cs (0.869, 0.869, 0.869)
Cs (0.392, 0.392, 0.392)
Cs (0.606, 0.131, 0.131)
Cs (0.000, 0.500, 0.000)
Cs (0.131, 0.131, 0.606)
Cs (0.131, 0.606, 0.131)
Cs (0.500, 0.000, 0.000)
Cs (0.608, 0.608, 0.608)
Cs (0.392, 0.392, 0.824)
Cs (0.608, 0.176, 0.608)
Cs (0.608, 0.608, 0.176)
Cs (0.869, 0.394, 0.869)
Cs (0.176, 0.608, 0.608)
Cs (0.500, 0.000, 0.500)
Cs (0.000, 0.500, 0.500)
Cs (0.131, 0.131, 0.131)
Cs (0.392, 0.824, 0.392)
Cs (0.869, 0.869, 0.394)
Cs (0.000, 0.000, 0.500)
Cs (0.000, 0.000, 0.000)
Cs (0.824, 0.392, 0.392)
Cd (0.500, 0.500, 0.500)

SG   No. 225
Energy   -0.877 eV per atom
DFT formation energy   0.03 eV/atom


# CsKCd5

CsKCd5 after structural relaxation (PBE, Alexandria via LeMat-Bulk).

a b c (Å): 6.211 11.097 14.150
angles (deg): 90.00 90.00 90.00
Positions (direct):
K (0.250, 0.280, 0.901)
K (0.750, 0.720, 0.099)
K (0.250, 0.780, 0.599)
K (0.750, 0.220, 0.401)
Cs (0.250, 0.901, 0.895)
Cs (0.750, 0.599, 0.395)
Cs (0.750, 0.099, 0.105)
Cs (0.250, 0.401, 0.605)
Cd (0.993, 0.406, 0.160)
Cd (0.250, 0.657, 0.238)
Cd (0.250, 0.904, 0.163)
Cd (0.250, 0.573, 0.026)
Cd (0.250, 0.404, 0.337)
Cd (0.750, 0.096, 0.837)
Cd (0.750, 0.927, 0.526)
Cd (0.493, 0.094, 0.660)
Cd (0.750, 0.843, 0.738)
Cd (0.007, 0.094, 0.660)
Cd (0.750, 0.596, 0.663)
Cd (0.007, 0.594, 0.840)
Cd (0.750, 0.343, 0.762)
Cd (0.750, 0.427, 0.974)
Cd (0.250, 0.157, 0.262)
Cd (0.250, 0.073, 0.474)
Cd (0.507, 0.906, 0.340)
Cd (0.507, 0.406, 0.160)
Cd (0.493, 0.594, 0.840)
Cd (0.993, 0.906, 0.340)

SG   No. 62
Energy   -0.973 eV per atom
DFT formation energy   -0.04 eV/atom


# CsK3Cd

CsK3Cd after structural relaxation (PBE, Alexandria via LeMat-Bulk).

a b c (Å): 7.073 7.073 7.073
angles (deg): 90.00 90.00 90.00
Positions (direct):
Cd (0.000, 0.000, 0.000)
K (0.000, 0.500, 0.000)
K (0.000, 0.000, 0.500)
K (0.500, 0.000, 0.000)
Cs (0.500, 0.500, 0.500)

E above lowest polymorph   18 meV per atom
SG   No. 221
Energy   -0.994 eV per atom
DFT formation energy   0.02 eV/atom


# Cs3K2Cd4

Cs3K2Cd4 after structural relaxation (PBE, Alexandria via LeMat-Bulk).

a b c (Å): 7.025 7.739 10.066
angles (deg): 66.98 68.74 79.74
Positions (direct):
Cd (0.876, 0.593, 0.395)
Cd (0.124, 0.407, 0.605)
Cd (0.040, 0.420, 0.150)
Cd (0.960, 0.580, 0.850)
K (0.498, 0.518, 0.205)
K (0.502, 0.482, 0.795)
Cs (0.303, 0.930, 0.398)
Cs (0.000, 0.000, 0.000)
Cs (0.697, 0.070, 0.602)

SG   No. 2
Energy   -0.965 eV per atom
DFT formation energy   -0.03 eV/atom


# Cs2KCd6

Cs2KCd6 after structural relaxation (PBE, Alexandria via LeMat-Bulk).

a b c (Å): 5.652 8.726 8.726
angles (deg): 59.99 89.99 89.99
Positions (direct):
Cd (0.500, 0.669, 0.000)
Cd (0.500, 0.669, 0.331)
Cd (0.500, 0.000, 0.331)
Cd (0.500, 0.000, 0.669)
Cd (0.500, 0.331, 0.000)
Cd (0.500, 0.331, 0.669)
Cs (0.000, 0.667, 0.667)
Cs (0.000, 0.333, 0.333)
K (0.000, 0.000, 0.000)

SG   No. 191
Energy   -0.954 eV per atom
DFT formation energy   -0.03 eV/atom


# Cs3KCd

Cs3KCd after structural relaxation (PBE, Alexandria via LeMat-Bulk).

a b c (Å): 8.539 8.539 8.539
angles (deg): 90.00 90.00 90.00
Positions (direct):
Cs (0.000, 0.500, 0.000)
Cs (0.500, 0.000, 0.000)
Cs (0.000, 0.000, 0.500)
K (0.000, 0.000, 0.000)
Cd (0.500, 0.500, 0.500)

E above lowest polymorph   292 meV per atom
SG   No. 221
Energy   -0.643 eV per atom
DFT formation energy   0.27 eV/atom


# CsK2Cd

CsK2Cd after structural relaxation (PBE, Alexandria via LeMat-Bulk).

a b c (Å): 6.666 5.977 5.977
angles (deg): 90.00 90.00 90.00
Positions (direct):
Cd (0.500, 0.500, 0.500)
K (0.000, 0.000, 0.500)
K (0.000, 0.500, 0.000)
Cs (0.500, 0.000, 0.000)

SG   No. 123
Energy   -0.944 eV per atom
DFT formation energy   0.05 eV/atom